Below is a relaxed Pr4InPd crystal, with properties calculated at the PBE level.

POSCAR file:
```
Pr4InPd
1.0
2.8132 -10.5358 0.0000
2.8132 10.5358 0.0000
0.0000 0.0000 6.6411
Pr In Pd
8 2 2
direct
0.0529 0.9471 0.5000
0.1987 0.8013 0.7611
0.2095 0.7905 0.2785
0.3939 0.6061 0.5267
0.6061 0.3939 0.0267
0.7905 0.2095 0.7785
0.8013 0.1987 0.2611
0.9471 0.0529 0.0000
0.3489 0.6511 0.0168
0.6511 0.3489 0.5168
0.0815 0.9185 0.0069
0.9185 0.0815 0.5069
```

Values from the calculation:
The total DFT energy (no corrections) comes out at -4.792 eV per atom. The calculation puts the formation energy at -27.4 kJ/mol of atoms. The calculation puts the energy above the lowest structure with this stoichiometry at 155 meV/atom.

=====

Below is a relaxed Na2ScU2S6 crystal, with properties calculated at the PBE level.

POSCAR file:
```
Na2ScU2S6
1.0
3.3871 -5.8371 0.0000
3.3871 5.8371 0.0000
-2.2098 0.0000 6.7635
Na Sc U S
2 1 2 6
direct
0.1665 0.8335 0.0000
0.8335 0.1665 0.0000
0.0000 0.0000 0.5000
0.3351 0.6649 0.5000
0.6649 0.3351 0.5000
0.0691 0.3961 0.7177
0.2462 0.2462 0.2814
0.3961 0.0691 0.7177
0.6039 0.9309 0.2823
0.7538 0.7538 0.7186
0.9309 0.6039 0.2823
```

Values from the calculation:
The total DFT energy (no corrections) comes out at -6.619 eV per atom. For the formation energy from raw total energies, the calculation gives -1.499 eV per atom.

=====

Below is a relaxed PuNiSb crystal, with properties calculated at the PBE level.

POSCAR file:
```
PuNiSb
1.0
4.3204 0.0000 0.0000
-2.1602 3.7416 0.0000
0.0000 0.0000 4.0851
Pu Ni Sb
1 1 1
direct
0.0000 0.0000 0.0000
0.6667 0.3333 0.5545
0.3333 0.6667 0.4932
```

Values from the calculation:
The total DFT energy (no corrections) comes out at -8.544 eV per atom. For the formation energy from raw total energies, the calculation gives -0.466 eV per atom.